DFT (PBE) results for a relaxed CaAlRu crystal.

abc: 3.3348 3.3348 10.6113
angles: 90.00 90.00 90.00
Closest atoms and distances in Å follow each position.
Fractional coordinates of all 6 atoms:
Ca  0.0000  0.0000  0.0000  1 Al 2.95, 5 Ru 3.15-3.21
Ca  0.5000  0.5000  0.5000  1 Al 2.95, 5 Ru 3.15-3.21
Al  0.0000  0.0000  0.7218  4 Ru 2.51
Al  0.5000  0.5000  0.2218  4 Ru 2.51
Ru  0.0000  0.0000  0.3025  4 Al 2.51
Ru  0.5000  0.5000  0.8025  4 Al 2.51

## Properties
- Final energy: -5.27 eV/atom
- Symmetry: I4mm
- DOS(E_F): 4.38 states/eV per cell
- Spin magnetization: 0.0 Bohr magnetons per cell